# BaLa2Mn GGA-PBE relaxed
data_BaLa2Mn
_space_group_name_H-M_alt 'P 4 m m'
_space_group_IT_number 99
_cell_length_a 3.896
_cell_length_b 3.896
_cell_length_c 9.486
_cell_angle_alpha 90.00
_cell_angle_beta 90.00
_cell_angle_gamma 90.00
loop_
_space_group_symop_operation_xyz
'x,y,z'
'-y,x,z'
'-x,-y,z'
'y,-x,z'
'-x,y,z'
'y,x,z'
'x,-y,z'
'-y,-x,z'
loop_
_atom_site_label
_atom_site_fract_x
_atom_site_fract_y
_atom_site_fract_z
Ba1 0.000 0.000 0.000
La1 0.000 0.000 0.598
La2 0.500 0.500 0.340
Mn1 0.500 0.500 0.765
# DOS(E_F): 6.04 states/eV per cell
# energy relative to the lowest polymorph listed for this composition: 69 meV/atom
# electronic total energy: -19.8 eV/cell
# energy relative to the elements: 6.81 kcal/mol of atoms